No. 1
An optimized crystal structure of CrFeCo2. Source: Alexandria, functional PBE-GGA.

Properties
* mass density: 8.3 Mg/m³
* E: -7.941 eV per atom
* formation enthalpy at 0 K: 134 meV/atom
* SG: P2/m (10)
* N(E_F): 6.31 states/eV per cell
* size of the total moment: 5.3 μB/cell

Unit cell a=3.9926 b=2.4289 c=4.7049 alpha=79.82 beta=90.00 gamma=90.00
Last column: nearest neighbours and their distance in Å.
Element x y z (fractional)
Co1 0.0000 0.5218 0.5017  2 Fe 2.43, 4 Co 2.43-2.47, 2 Cr 2.47
Co2 0.0000 0.9782 0.9983  2 Fe 2.43, 4 Co 2.43-2.47, 2 Cr 2.47
Cr1 0.5000 0.2500 0.2500  2 Cr 2.43, 2 Fe 2.45, 4 Co 2.47
Fe1 0.5000 0.7500 0.7500  4 Co 2.43, 2 Fe 2.43, 2 Cr 2.45


No. 2
An optimized crystal structure of Li2ZrO. Source: Alexandria, functional PBE-GGA.

Properties
* mass density: 3.0 Mg/m³
* E: -4.785 eV per atom
* SG: I-42d (122)
* energy relative to the elements, uncorrected: -0.451 eV per atom
* N(E_F): 5.31 states/eV per cell
* size of the total moment: 5.1 μB/cell

Unit cell a=5.7391 b=5.7391 c=5.7404 alpha=60.01 beta=60.01 gamma=90.00
Last column: nearest neighbours and their distance in Å.
Element x y z (fractional)
O1 0.2500 0.7500 0.5000  4 Li 1.76
O2 0.5000 0.5000 0.0000  4 Li 1.76
Zr1 0.7500 0.2500 0.5000  12 Li 3.36-3.37, 4 O 3.51, 4 Zr 3.51
Zr2 0.0000 0.0000 0.0000  12 Li 3.36-3.37, 4 O 3.51, 4 Zr 3.51
Li1 0.8750 0.6264 0.7500  2 O 1.76
Li2 0.3736 0.6250 0.2500  2 O 1.76
Li3 0.3764 0.1250 0.2500  2 O 1.76
Li4 0.3750 0.6236 0.7500  2 O 1.76


No. 3
An optimized crystal structure of La2PtN. Source: Alexandria, functional PBE-GGA.

Properties
* mass density: 9.0 Mg/m³
* E: -7.157 eV per atom
* SG: R-3m (166)
* energy relative to the elements, uncorrected: -1.102 eV per atom
* N(E_F): 2.19 states/eV per cell
* size of the total moment: 0.0 μB/cell

Unit cell a=3.8380 b=3.8380 c=7.3621 alpha=74.89 beta=74.89 gamma=60.00
Last column: nearest neighbours and their distance in Å.
Element x y z (fractional)
La1 0.2369 0.2369 0.2892  3 N 2.66
La2 0.7631 0.7631 0.7108  3 N 2.66
Pt1 0.0000 0.0000 0.0000  6 La 3.01
N1 0.5000 0.5000 0.5000  6 La 2.66


No. 4
An optimized crystal structure of YGa4Ag. Source: Alexandria, functional PBE-GGA.

Properties
* mass density: 6.7 Mg/m³
* offset from the most stable computed form: 0 meV per atom
* E: -3.787 eV per atom
* formation enthalpy at 0 K: -216 meV/atom
* SG: P-1 (2)
* N(E_F): 6.94 states/eV per cell
* size of the total moment: 0.0 μB/cell

Unit cell a=5.2731 b=4.7464 c=10.0900 alpha=103.97 beta=105.52 gamma=88.44
Last column: nearest neighbours and their distance in Å.
Element x y z (fractional)
Ga1 0.6489 0.1502 0.7982  4 Ga 2.72-2.96, 1 Ag 2.81, 2 Y 3.04
Ga2 0.4201 0.4221 0.3446  5 Ga 2.72-2.96, 4 Ag 2.79-3.03
Ga3 0.5799 0.5779 0.6554  5 Ga 2.72-2.96, 4 Ag 2.79-3.03
Ga4 0.3511 0.8498 0.2018  4 Ga 2.72-2.96, 1 Ag 2.81, 2 Y 3.04
Ga5 0.0776 0.0777 0.6554  5 Ga 2.72-2.96, 4 Ag 2.79-3.02
Ga6 0.1505 0.6498 0.7982  4 Ga 2.72-2.96, 1 Ag 2.81, 2 Y 3.04
Ga7 0.9224 0.9223 0.3446  5 Ga 2.72-2.96, 4 Ag 2.79-3.02
Ga8 0.8495 0.3502 0.2018  4 Ga 2.72-2.96, 1 Ag 2.81, 2 Y 3.04
Ag1 0.5000 0.0000 0.5000  10 Ga 2.79-3.02
Ag2 0.0000 0.5000 0.5000  10 Ga 2.79-3.03
Y1 0.2499 0.2499 0.0000  10 Ga 3.04-3.26
Y2 0.7501 0.7501 0.0000  10 Ga 3.04-3.26


No. 5
An optimized crystal structure of Nb2CoPb. Source: Alexandria, functional PBE-GGA.

Properties
* mass density: 9.9 Mg/m³
* E: -7.303 eV per atom
* formation enthalpy at 0 K: 435 meV/atom
* SG: I-42d (122)
* N(E_F): 8.38 states/eV per cell
* size of the total moment: 0.0 μB/cell

Unit cell a=7.3574 b=7.3574 c=5.9070 alpha=51.48 beta=51.48 gamma=90.00
Last column: nearest neighbours and their distance in Å.
Element x y z (fractional)
Co1 0.2500 0.7500 0.5000  4 Nb 2.44
Co2 0.5000 0.5000 0.0000  4 Nb 2.44
Nb1 0.5711 0.1250 0.2500  2 Co 2.44
Nb2 0.8750 0.8211 0.7500  2 Co 2.44
Nb3 0.1789 0.6250 0.2500  2 Co 2.44
Nb4 0.3750 0.4289 0.7500  2 Co 2.44
Pb1 0.0000 0.0000 0.0000  2 Co 2.80, 4 Nb 2.98
Pb2 0.7500 0.2500 0.5000  2 Co 2.80, 4 Nb 2.98


No. 6
An optimized crystal structure of CeBi2Pt. Source: Alexandria, functional PBE-GGA.

Properties
* mass density: 11.9 Mg/m³
* E: -5.567 eV per atom
* formation enthalpy at 0 K: -633 meV/atom
* SG: I4/mmm (139)
* N(E_F): 9.04 states/eV per cell
* size of the total moment: 0.7 μB/cell

Unit cell a=4.7789 b=4.7789 c=9.7761 alpha=104.15 beta=104.15 gamma=90.00
Last column: nearest neighbours and their distance in Å.
Element x y z (fractional)
Bi1 0.5000 0.0000 0.0000  8 Bi 3.38-3.77, 4 Ce 3.50
Bi2 0.6589 0.6589 0.3178  4 Pt 2.92
Bi3 0.3411 0.3411 0.6822  4 Pt 2.92
Bi4 0.0000 0.5000 0.0000  8 Bi 3.38-3.77, 4 Ce 3.50
Ce1 0.8605 0.8605 0.7210  4 Pt 3.13, 8 Bi 3.40-3.50
Ce2 0.1395 0.1395 0.2790  4 Pt 3.13, 8 Bi 3.40-3.50
Pt1 0.2500 0.7500 0.5000  4 Bi 2.92, 4 Ce 3.13
Pt2 0.7500 0.2500 0.5000  4 Bi 2.92, 4 Ce 3.13


> What is the mass density in the first record?

8.3 Mg/m³


> What is the formula in the first record?

CrFeCo2


Please write out number 6 again, unchanged.
An optimized crystal structure of CeBi2Pt. Source: Alexandria, functional PBE-GGA.

Properties
* mass density: 11.9 Mg/m³
* E: -5.567 eV per atom
* formation enthalpy at 0 K: -633 meV/atom
* SG: I4/mmm (139)
* N(E_F): 9.04 states/eV per cell
* size of the total moment: 0.7 μB/cell

Unit cell a=4.7789 b=4.7789 c=9.7761 alpha=104.15 beta=104.15 gamma=90.00
Last column: nearest neighbours and their distance in Å.
Element x y z (fractional)
Bi1 0.5000 0.0000 0.0000  8 Bi 3.38-3.77, 4 Ce 3.50
Bi2 0.6589 0.6589 0.3178  4 Pt 2.92
Bi3 0.3411 0.3411 0.6822  4 Pt 2.92
Bi4 0.0000 0.5000 0.0000  8 Bi 3.38-3.77, 4 Ce 3.50
Ce1 0.8605 0.8605 0.7210  4 Pt 3.13, 8 Bi 3.40-3.50
Ce2 0.1395 0.1395 0.2790  4 Pt 3.13, 8 Bi 3.40-3.50
Pt1 0.2500 0.7500 0.5000  4 Bi 2.92, 4 Ce 3.13
Pt2 0.7500 0.2500 0.5000  4 Bi 2.92, 4 Ce 3.13